Entry from the Alexandria database: a relaxed structure of Ni2SnMoN (PBE-GGA).

Energy relative to the elements, uncorrected   -0.051 eV per atom
Uncorrected energy   -7.00 eV/atom

a = 3.9784 Å, b = 3.9784 Å, c = 4.0810 Å
α = 90.00°, β = 90.00°, γ = 90.00°
Fractional positions:
Ni 0.0000 0.5000 0.0000
Ni 0.5000 0.0000 0.0000
Mo 0.0000 0.0000 0.5000
Sn 0.5000 0.5000 0.5000
N 0.0000 0.0000 0.0000



Entry from the Alexandria database: a relaxed structure of ScZn2Hg (PBE-GGA).

Uncorrected energy   -2.34 eV/atom
Calculated formation energy   -0.043 eV per atom

a = 5.6308 Å, b = 5.6308 Å, c = 2.9996 Å
α = 78.03°, β = 78.03°, γ = 117.40°
Fractional positions:
Hg 0.5000 0.0000 0.5000
Sc 0.0000 0.5000 0.5000
Zn 0.0000 0.0000 0.0000
Zn 0.5000 0.5000 0.0000



- Which value of uncorrected energy does entry 2 give?
  -2.34 eV/atom



What did the second record say?
Entry from the Alexandria database: a relaxed structure of ScZn2Hg (PBE-GGA).

Uncorrected energy   -2.34 eV/atom
Calculated formation energy   -0.043 eV per atom

a = 5.6308 Å, b = 5.6308 Å, c = 2.9996 Å
α = 78.03°, β = 78.03°, γ = 117.40°
Fractional positions:
Hg 0.5000 0.0000 0.5000
Sc 0.0000 0.5000 0.5000
Zn 0.0000 0.0000 0.0000
Zn 0.5000 0.5000 0.0000